1.
{
  "formula": "VRe3Hg",
  "functional": "GGA-PBE",
  "state": "relaxed",
  "cell": [[4.539, 0.000, 0.000], [0.000, 4.539, 0.000], [0.000, 0.000, 4.539]],
  "species": ["Re", "Re", "Re", "V", "Hg"],
  "fractional_positions": [[0.000, 0.500, 0.000], [0.500, 0.000, 0.000], [0.000, 0.000, 0.500], [0.000, 0.000, 0.000], [0.500, 0.500, 0.500]],
  "formation_energy_ev_per_atom": 1.735,
  "relative_energy_ev_per_fu": 0.000
}

=====

2.
{
  "formula": "DyTmNi",
  "functional": "GGA-PBE",
  "state": "relaxed",
  "cell": [[-5.172, 3.189, -3.340], [0.386, -4.501, -4.896], [-7.580, -1.623, 0.893]],
  "species": ["Tm", "Tm", "Tm", "Tm", "Dy", "Dy", "Dy", "Dy", "Ni", "Ni", "Ni", "Ni"],
  "fractional_positions": [[0.802, 0.185, 0.700], [0.302, 0.315, 0.700], [0.198, 0.815, 0.300], [0.698, 0.685, 0.300], [0.377, 0.314, 0.201], [0.877, 0.186, 0.201], [0.623, 0.686, 0.799], [0.123, 0.814, 0.799], [0.344, 0.041, 0.949], [0.844, 0.459, 0.949], [0.656, 0.959, 0.051], [0.156, 0.541, 0.051]],
  "formation_energy_ev_per_atom": -0.247,
  "relative_energy_ev_per_fu": 0.176
}